# 1
First-principles (PBE-GGA) data for an optimized crystal structure of CaNiH3, as listed in Alexandria.

The value obtained for the spin magnetization is 0.0 μB/f.u. Its raw total energy is -3.907 eV/atom.

It has space group P2_1/c (No. 14), with a = 6.342 Å, b = 5.345 Å, c = 6.984 Å, α = 90.00°, β = 123.34° and γ = 90.00°. Symmetry generates all atoms from Ca at (0.200, 0.250, 0.100), Ni at (0.297, 0.664, 0.399), H at (0.021, 0.544, 0.261), H at (0.286, 0.750, 0.143) and H at (0.405, 0.146, 0.952).

***

# 2
First-principles (PBE-GGA) data for an optimized crystal structure of CsCuAg2F8, as listed in Alexandria.

The value obtained for the spin magnetization is 0.0 μB/f.u. The value obtained for the raw formation energy is -1.513 eV per atom.

It has space group P-1 (No. 2), with a = 4.983 Å, b = 5.008 Å, c = 8.584 Å, α = 93.55°, β = 91.24° and γ = 94.96°. Symmetry generates all atoms from Cs at (0.000, 0.000, 0.000), Cu at (0.000, 0.000, 0.500), Ag at (0.463, 0.519, 0.310), F at (0.156, 0.220, 0.337), F at (0.198, 0.205, 0.677), F at (0.291, 0.754, 0.480) and F at (0.418, 0.688, 0.881).

***

# 3
First-principles (PBE-GGA) data for an optimized crystal structure of Dy2HI, as listed in Alexandria.

The value obtained for the spin magnetization is 0.0 μB/f.u. Its raw total energy is -4.052 eV/atom.

It has space group R-3m (No. 166, hexagonal axes), with a = 3.7390 Å, b = 3.7390 Å, c = 22.6897 Å, α = 90.00°, β = 90.00° and γ = 120.00°. Symmetry generates all atoms from Dy at (0.0000, 0.0000, 0.2238), H at (0.0000, 0.0000, 0.5000) and I at (0.0000, 0.0000, 0.0000).

***

# 4
First-principles (PBE-GGA) data for an optimized crystal structure of AsP2Os, as listed in Alexandria.

The value obtained for the spin magnetization is 0.0 μB/f.u. As for the formation enthalpy at 0 K: 70 kJ/mol of atoms.

It has space group Pmmm (No. 47), with a = 3.023 Å, b = 4.173 Å, c = 4.715 Å, α = 90.00°, β = 90.00° and γ = 90.00°. Symmetry generates all atoms from As at (0.000, 0.000, 0.000), P at (0.000, 0.500, 0.500), P at (0.500, 0.500, 0.000) and Os at (0.500, 0.000, 0.500).

***

Number 1: calculated volume 9.888 Å³ per atom. Number 2: calculated volume 17.744 Å³ per atom. Number 3: calculated volume 22.892 Å³ per atom. Number 4: calculated volume 14.868 Å³ per atom.